GGA-PBE Ce2PmNdSb5, optimized geometry; E_tot = -4.844 eV per atom; symmetry = No. 123; ΔE_f (raw) = -154 kJ/mol of formula units; total magnetic moment = 1.833 μB per formula unit
1.0
5.4162 0.0000 0.0000
0.0000 5.4162 0.0000
0.0000 0.0000 11.7974
Ce Pm Nd Sb
2 1 1 5
Direct
0.5000 0.5000 0.2826
0.5000 0.5000 0.7174
0.0000 0.0000 0.0000
0.0000 0.0000 0.5000
0.0000 0.5000 0.5000
0.5000 0.0000 0.5000
0.0000 0.0000 0.7532
0.0000 0.0000 0.2468
0.5000 0.5000 0.0000



GGA-PBE Cr2AgSb, optimized geometry; E_tot = -6.243 eV per atom; symmetry = No. 119; ΔE_f (raw) = 120 kJ/mol of formula units; total magnetic moment = 0.008 μB per formula unit
1.0
-2.3356 2.7760 3.5424
1.8150 -1.2322 4.5714
2.3184 1.2979 -4.3186
Ag Cr Sb
1 2 1
Direct
0.2499 0.7499 0.5000
0.9995 0.9995 0.0000
0.7502 0.2502 0.5000
0.5003 0.5003 0.0000



GGA-PBE Nd2Cu5Ni5, optimized geometry; E_tot = -5.154 eV per atom; symmetry = No. 47; energy of formation from the pure elements = -2.930 eV/f.u.; total magnetic moment = 0.000 μB per formula unit
1.0
-2.8697 1.2540 2.5881
-0.3158 -4.6273 1.8918
6.1054 1.9624 5.8190
Nd Cu Ni
2 5 5
Direct
0.0000 0.5000 0.0000
0.0000 0.0000 0.5000
0.5000 0.5000 0.5000
0.5000 0.7508 0.2488
0.5000 0.2492 0.7512
0.5000 0.2492 0.2488
0.5000 0.7508 0.7512
0.0000 0.5000 0.3349
0.0000 0.0000 0.8380
0.0000 0.0000 0.1620
0.0000 0.5000 0.6651
0.5000 0.0000 0.0000



GGA-PBE TbMg3Pd, optimized geometry; E_tot = -3.301 eV per atom; symmetry = No. 62; energy of formation from the pure elements = -1.898 eV/f.u.; energy above the most stable polymorph in this dataset = 0.016 eV per atom; total magnetic moment = 0.000 μB per formula unit
1.0
4.0772 0.0000 0.0000
0.0000 9.2797 0.0000
0.0000 0.0000 12.0736
Tb Mg Pd
4 12 4
Direct
0.7500 0.8232 0.9895
0.2500 0.6768 0.4895
0.7500 0.3232 0.5105
0.2500 0.1768 0.0105
0.2500 0.5463 0.0830
0.7500 0.4537 0.9170
0.2500 0.0463 0.4170
0.7500 0.9537 0.5830
0.2500 0.4137 0.7254
0.7500 0.0863 0.2254
0.2500 0.9137 0.7746
0.7500 0.6614 0.7149
0.2500 0.3386 0.2851
0.7500 0.1614 0.7851
0.7500 0.5863 0.2746
0.2500 0.8386 0.2149
0.2500 0.1489 0.6298
0.2500 0.6489 0.8702
0.7500 0.3511 0.1298
0.7500 0.8511 0.3702



GGA-PBE VPb2C, optimized geometry; E_tot = -5.112 eV per atom; symmetry = No. 122; energy of formation from the pure elements = 5.312 eV/f.u.; total magnetic moment = 3.013 μB per formula unit
1.0
7.0916 0.0000 0.0000
0.0000 7.0916 0.0000
3.5458 3.5458 3.2862
Pb C V
4 2 2
Direct
0.5649 0.1250 0.2500
0.1851 0.6250 0.2500
0.3750 0.4351 0.7500
0.8750 0.8149 0.7500
0.5000 0.5000 0.0000
0.2500 0.7500 0.5000
0.0000 0.0000 0.0000
0.7500 0.2500 0.5000



GGA-PBE Ac2PmTl, optimized geometry; E_tot = -3.957 eV per atom; symmetry = No. 123; energy of formation from the pure elements = -0.494 eV/f.u.; energy above the most stable polymorph in this dataset = 0.016 eV per atom; total magnetic moment = 0.004 μB per formula unit
1.0
5.1595 0.0000 0.0000
0.0000 5.2726 0.0000
0.0000 0.0000 5.2726
Ac Tl Pm
2 1 1
Direct
0.0000 0.0000 0.5000
0.0000 0.5000 0.0000
0.5000 0.0000 0.0000
0.5000 0.5000 0.5000